No. 1
First-principles (PBE) data for a relaxed MnSb2ICl crystal, as listed in the Alexandria database.

a = 5.142 Å, b = 5.142 Å, c = 6.672 Å
α = 90.00°, β = 90.00°, γ = 90.00°
Space group P4/mmm (No. 123)
One atom of each set of equivalent atoms:
Mn: 0.000 0.000 0.000 [1 per cell]
Sb: 0.000 0.500 0.500 [2 per cell]
I: 0.500 0.500 0.000 [1 per cell]
Cl: 0.500 0.500 0.500 [1 per cell]

Computed properties:
E_form (uncorrected) = 0.887 eV/atom

=====

No. 2
First-principles (PBE) data for a relaxed ZnBiTeN2 crystal, as listed in the Alexandria database.

a = 4.291 Å, b = 4.291 Å, c = 5.552 Å
α = 90.00°, β = 90.00°, γ = 90.00°
Space group P4/mmm (No. 123)
One atom of each set of equivalent atoms:
Zn: 0.000 0.000 0.000 [1 per cell]
Bi: 0.500 0.500 0.500 [1 per cell]
Te: 0.000 0.000 0.500 [1 per cell]
N: 0.000 0.500 0.000 [2 per cell]

Computed properties:
E_form (uncorrected) = 1.436 eV/atom

=====

No. 3
First-principles (PBE) data for a relaxed RbAlTe2 crystal, as listed in the Alexandria database.

a = 7.088 Å, b = 7.317 Å, c = 7.510 Å
α = 105.76°, β = 104.47°, γ = 117.06°
Space group P1 (No. 1)
One atom of each set of equivalent atoms:
Rb: 0.000 0.000 0.000 [1 per cell]
Rb: 0.451 0.450 0.901 [1 per cell]
Al: 0.495 0.937 0.450 [1 per cell]
Al: 0.965 0.642 0.450 [1 per cell]
Te: 0.082 0.577 0.139 [1 per cell]
Te: 0.392 0.887 0.762 [1 per cell]
Te: 0.579 0.335 0.450 [1 per cell]
Te: 0.879 0.966 0.451 [1 per cell]

Computed properties:
E_form (uncorrected) = -0.761 eV/atom

=====

No. 4
First-principles (PBE) data for a relaxed Pm2Er8Mg crystal, as listed in the Alexandria database.

a = 16.213 Å, b = 6.560 Å, c = 6.623 Å
α = 90.00°, β = 101.77°, γ = 90.00°
Space group C2/m (No. 12)
One atom of each set of equivalent atoms:
Pm: 0.186 0.000 0.294 [4 per cell]
Er: 0.081 0.260 0.888 [8 per cell]
Er: 0.093 0.500 0.416 [4 per cell]
Er: 0.246 0.000 0.815 [4 per cell]
Mg: 0.000 0.000 0.500 [2 per cell]

Computed properties:
Energy relative to the elements = 0.144 eV per atom

=====

No. 5
First-principles (PBE) data for a relaxed InReTe crystal, as listed in the Alexandria database.

a = 6.502 Å, b = 6.502 Å, c = 6.502 Å
α = 90.00°, β = 90.00°, γ = 90.00°
Space group F-43m (No. 216)
One atom of each set of equivalent atoms:
In: 0.000 0.000 0.000 [4 per cell]
Re: 0.250 0.250 0.750 [4 per cell]
Te: 0.000 0.000 0.500 [4 per cell]

Computed properties:
E_form (uncorrected) = 0.696 eV/atom

=====

Quick rundown of final energy, same order as above: -16.378 -17.768 -28.077 -92.036 -64.957 eV for the cell shown
Quick rundown of volume, same order as above: 176.39 102.22 150.21 344.81 68.72 Å³/f.u.